1.
A relaxed LiCoH3 crystal. Source: the Alexandria database, functional PBE-GGA.

a b c (Å): 4.3765 3.1979 5.2684
angles (deg): 90.00 114.08 90.00
Space group P2/m (No. 10)
Unique sites:
Li (0.1509, 0.0000, 0.2969)
Co (0.3714, 0.5000, 0.7461)
H (0.0000, 0.5000, 0.5000)
H (0.2505, 0.5000, 0.0031)
H (0.3500, 0.0000, 0.7070)
H (0.5000, 0.5000, 0.5000)

2.
A relaxed LiMnCo2H crystal. Source: the Alexandria database, functional PBE-GGA.

a b c (Å): 3.6193 3.6193 3.5196
angles (deg): 90.00 90.00 90.00
Space group P4/mmm (No. 123)
Unique sites:
Li (0.0000, 0.0000, 0.0000)
Mn (0.5000, 0.5000, 0.0000)
Co (0.0000, 0.5000, 0.5000)
H (0.0000, 0.0000, 0.5000)

3.
A relaxed Li5CoHN2 crystal. Source: the Alexandria database, functional PBE-GGA.

a b c (Å): 3.9526 3.9526 7.4236
angles (deg): 90.00 90.00 90.00
Space group P4/mmm (No. 123)
Unique sites:
Li (0.0000, 0.0000, 0.0000)
Li (0.0000, 0.5000, 0.2480)
Co (0.0000, 0.0000, 0.5000)
H (0.5000, 0.5000, 0.0000)
N (0.0000, 0.0000, 0.2618)

4.
A relaxed Li2CoHN crystal. Source: the Alexandria database, functional PBE-GGA.

a b c (Å): 3.2261 8.6701 6.6734
angles (deg): 90.00 90.00 90.00
Space group Cmcm (No. 63)
Unique sites:
Li (0.0000, 0.1371, 0.0531)
Co (0.0000, 0.4361, 0.2500)
H (0.0000, 0.1498, 0.7500)
N (0.0000, 0.5000, 0.0000)

5.
A relaxed Na3Li3CoH8 crystal. Source: the Alexandria database, functional PBE-GGA.

a b c (Å): 10.1907 5.8928 6.1350
angles (deg): 90.00 123.67 90.00
Space group C2/m (No. 12)
Unique sites:
Na (0.0000, 0.0000, 0.0000)
Na (0.2500, 0.2500, 0.0000)
Li (0.0000, 0.5000, 0.5000)
Li (0.2500, 0.2500, 0.5000)
Co (0.0000, 0.0000, 0.5000)
H (0.0101, 0.1989, 0.3310)
H (0.1893, 0.0000, 0.6695)
H (0.2369, 0.5000, 0.7110)

6.
A relaxed NaLi2CoH5 crystal. Source: the Alexandria database, functional PBE-GGA.

a b c (Å): 3.4155 4.8950 8.8802
angles (deg): 90.00 90.00 90.00
Space group Immm (No. 71)
Unique sites:
Na (0.0000, 0.0000, 0.0000)
Li (0.0000, 0.5000, 0.2091)
Co (0.0000, 0.0000, 0.5000)
H (0.0000, 0.2226, 0.3699)
H (0.0000, 0.5000, 0.0000)

| no. | total DFT energy (no corrections) (eV per atom) |
| --- | --- |
| 1 | -3.9831 |
| 2 | -5.6349 |
| 3 | -4.3075 |
| 4 | -4.7642 |
| 5 | -3.1476 |
| 6 | -3.5147 |